1.
VASP calculation (GGA-PBE) on an optimized crystal structure of Ce2PrNiN4.

The spin magnetization comes out at 1.0 μB/f.u. As for the crystal system: orthorhombic. The calculated volume comes out at 473.38 Å³/cell. The raw formation energy comes out at -1.108 eV per atom.

The structure belongs to space group Cmcm (No. 63); the cell edges are 3.507, 11.589 and 11.647 Å and the angles 90.00°, 90.00° and 90.00°. The asymmetric unit holds Ce at (0.000, 0.131, 0.056), Pr at (0.000, 0.395, 0.250), Ni at (0.000, 0.342, 0.750), N at (0.000, 0.057, 0.250), N at (0.000, 0.233, 0.619) and N at (0.000, 0.500, 0.000).

---

2.
VASP calculation (GGA-PBE) on an optimized crystal structure of Y12Tl3H5.

The spin magnetization comes out at 0.0 μB/f.u. As for the crystal system: cubic. The electronic total energy comes out at -5.3092 eV per atom. The calculated volume comes out at 3853.75 Å³/cell.

The structure belongs to space group Ia-3d (No. 230); the cell edges are 15.678, 15.678 and 15.678 Å and the angles 90.00°, 90.00° and 90.00°. The asymmetric unit holds Y at (0.042, 0.054, 0.651), Tl at (0.000, 0.250, 0.125), H at (0.000, 0.000, 0.000) and H at (0.000, 0.250, 0.375).

---

3.
VASP calculation (GGA-PBE) on an optimized crystal structure of Sc2PdSN.

The spin magnetization comes out at 0.0 μB/f.u. As for the crystal system: tetragonal. The calculated volume comes out at 97.90 Å³/cell. The raw formation energy comes out at 0.114 eV per atom.

The structure belongs to space group P4/mmm (No. 123); the cell edges are 4.776, 4.776 and 4.293 Å and the angles 90.00°, 90.00° and 90.00°. The asymmetric unit holds Sc at (0.000, 0.500, 0.000), Pd at (0.000, 0.000, 0.500), S at (0.000, 0.000, 0.000) and N at (0.500, 0.500, 0.500).